CaSc2Mo: relaxed, PBE.

VASP energy, eV per atom: -5.9793
Formation enthalpy at 0 K, meV per atom: 395
Magnetic moment, μB/cell: 0.00

a = 9.8401 Å, b = 3.0637 Å, c = 6.4364 Å
α = 90.00°, β = 92.65°, γ = 90.00°
Last column: nearest neighbours and their distance in Å.
Space group Cm (No. 8)
Unique sites:
1 Ca 0.0000 0.0000 0.0000  2 Ca 3.06, 1 Mo 3.17, 3 Sc 3.22-3.27
2 Sc 0.0050 0.5000 0.5516  3 Mo 2.76-2.94, 3 Sc 2.96-3.06
3 Sc 0.2584 0.5000 0.3215  2 Mo 2.87, 5 Sc 2.96-3.18
4 Mo 0.2454 0.0000 0.6979  5 Sc 2.76-2.94, 2 Mo 3.06